[1]
## CsK2Hg2 (PBE-GGA)

Data for a geometry-optimized CsK2Hg2 structure.

**Energy above the most stable polymorph in this dataset**: 27 meV/atom
**SG**: I4/mmm (139)
**E_tot**: -0.8962 eV per atom
**Total moment**: 0.00 μB/atom
**Density**: 4143 kg/m3
**Energy relative to the elements**: -0.166 eV/atom

abc: 5.664 5.664 8.636
angles: 70.86 70.86 90.00
Positions (direct):
K  0.250  0.750  0.500
K  0.750  0.250  0.500
Cs  0.000  0.000  0.000
Hg  0.598  0.598  0.804
Hg  0.402  0.402  0.196



[2]
## MgNbGaFe (PBE-GGA)

Data for a geometry-optimized MgNbGaFe structure.

**SG**: F-43m (216)
**E_tot**: -5.8320 eV per atom
**Total moment**: 0.00 μB/atom
**Density**: 6901 kg/m3
**Energy relative to the elements**: -0.044 eV/atom

abc: 4.355 4.355 4.355
angles: 60.00 60.00 60.00
Positions (direct):
Fe  0.250  0.250  0.250
Ga  0.500  0.500  0.500
Mg  0.750  0.750  0.750
Nb  0.000  0.000  0.000



[3]
## MnAsPt (PBE-GGA)

Data for a geometry-optimized MnAsPt structure.

**SG**: I4mm (107)
**E_tot**: -6.6880 eV per atom
**Total moment**: 1.21 μB/atom
**Density**: 11518 kg/m3
**Energy relative to the elements**: -0.068 eV/atom

abc: 5.484 5.484 3.048
angles: 73.87 73.87 32.27
Site moments in Bohr magnetons follow the coordinates.
Positions (direct):
Pt  0.672  0.672  0.328  0.17
Mn  0.335  0.335  0.665  3.43
As  0.993  0.993  0.007  -0.07



- Which of these has the highest density?
  MnAsPt